! BaZn2Pd2, optimized geometry, DFT PBE; values from VASP
! Total magnetic moment, μB per formula unit: 0.0
! Formation energy, meV per atom: -495
! N(E_F), states/eV per cell: 3.93
! Crystal system: tetragonal
! Volume, Å³ per atom: 21.54
&SYSTEM
  ibrav = 0, nat = 10, ntyp = 3
/
ATOMIC_SPECIES
Ba 137.33 Ba.upf
Zn 65.41 Zn.upf
Pd 106.42 Pd.upf
ATOMIC_POSITIONS crystal
Ba 0.000 0.000 0.000
Ba 0.500 0.500 0.500
Zn 0.000 0.000 0.370
Zn 0.000 0.000 0.630
Zn 0.500 0.500 0.130
Zn 0.500 0.500 0.870
Pd 0.000 0.500 0.250
Pd 0.000 0.500 0.750
Pd 0.500 0.000 0.250
Pd 0.500 0.000 0.750
CELL_PARAMETERS angstrom
4.523 0.000 0.000
0.000 4.523 0.000
0.000 0.000 10.526

! Ba2ZnPd, optimized geometry, DFT PBE; values from VASP
! Total magnetic moment, μB per formula unit: 0.0
! Formation energy, meV per atom: -51
! N(E_F), states/eV per cell: 10.33
! Crystal system: trigonal
! Volume, Å³ per atom: 47.75
&SYSTEM
  ibrav = 0, nat = 12, ntyp = 3
/
ATOMIC_SPECIES
Ba 137.33 Ba.upf
Zn 65.41 Zn.upf
Pd 106.42 Pd.upf
ATOMIC_POSITIONS crystal
Ba 0.000 0.000 0.111
Ba 0.000 0.000 0.889
Ba 0.333 0.667 0.555
Ba 0.333 0.667 0.778
Ba 0.667 0.333 0.222
Ba 0.667 0.333 0.445
Zn 0.000 0.000 0.000
Zn 0.333 0.667 0.667
Zn 0.667 0.333 0.333
Pd 0.000 0.000 0.500
Pd 0.333 0.667 0.167
Pd 0.667 0.333 0.833
CELL_PARAMETERS angstrom
4.550 0.000 0.000
-2.275 3.940 0.000
0.000 0.000 31.959